Entry 1:
DFT (SCAN) results for a PBEsol-optimized structure of CaPb2Cl.

Total energy in eV/cell: -172.5
M_tot in μB per cell: 0.0
Energy above the lowest structure with this stoichiometry in eV per atom: 0.0000
Crystal system: orthorhombic
Formation energy without anion corrections in eV/atom: -0.83

abc: 3.4723 5.9189 6.3794
angles: 117.64 105.79 90.00
Sites, in units of the cell vectors:
Pb1 0.9946 0.9946 0.9892
Pb2 0.7576 0.2576 0.5152
Ca1 0.5298 0.5298 0.0596
Cl1 0.2180 0.7180 0.4360

Entry 2:
DFT (SCAN) results for a PBEsol-optimized structure of Ca2PbCl.

Total energy in eV/cell: -107.8
M_tot in μB per cell: 0.0
Energy above the lowest structure with this stoichiometry in eV per atom: 0.2191
Crystal system: orthorhombic
Formation energy without anion corrections in eV/atom: -1.19

abc: 3.6869 3.6869 8.0195
angles: 90.00 90.00 90.20
Sites, in units of the cell vectors:
Pb1 0.5000 0.5000 0.0000
Ca1 0.0000 0.0000 0.2408
Ca2 0.0000 0.0000 0.7592
Cl1 0.5000 0.5000 0.5000

Entry 3:
DFT (SCAN) results for a PBEsol-optimized structure of CaPbSCl2.

Total energy in eV/cell: -117.8
M_tot in μB per cell: 0.0
Crystal system: tetragonal
Formation energy without anion corrections in eV/atom: -1.35

abc: 5.0149 5.0149 5.4295
angles: 90.00 90.00 90.00
Sites, in units of the cell vectors:
Pb1 0.5000 0.5000 0.5000
Ca1 0.0000 0.0000 0.0000
S1 0.0000 0.0000 0.5000
Cl1 0.0000 0.5000 0.0000
Cl2 0.5000 0.0000 0.0000

Entry 4:
DFT (SCAN) results for a PBEsol-optimized structure of CaPbS2Cl.

Total energy in eV/cell: -116.7
M_tot in μB per cell: 0.8
Crystal system: tetragonal
Formation energy without anion corrections in eV/atom: -0.81

abc: 5.0656 5.1458 5.1458
angles: 90.00 90.00 90.00
Each line ends with the local moment (μB).
Sites, in units of the cell vectors:
Pb1 0.5000 0.5000 0.5000  -0.02
Ca1 0.0000 0.0000 0.0000  0.01
S1 0.0000 0.0000 0.5000  0.27
S2 0.0000 0.5000 0.0000  0.27
Cl1 0.5000 0.0000 0.0000  0.00